VFe2PbO6 (PBE with a Hubbard U, relaxed); magnetic moment = 18.00 Bohr magnetons per cell; V = 15.042 Å³/atom; space group = C2/c (15); E_tot = -133.9 eV per cell
1.0
-5.2578 -0.7828 -3.6911
1.9516 -4.1508 -5.7581
-4.6177 -4.4165 3.6560
Fe O Pb V
4 12 2 2
direct
0.1509 0.4583 0.3146
0.8491 0.5417 0.6854
0.3491 0.6854 0.5417
0.6509 0.3146 0.4583
0.0273 0.6974 0.5780
0.3019 0.2137 0.0363
0.4727 0.4220 0.3026
0.6981 0.7863 0.9637
0.5273 0.5780 0.6974
0.9904 0.3623 0.8284
0.9727 0.3026 0.4220
0.5096 0.1716 0.6377
0.4904 0.8284 0.3623
0.1981 0.9637 0.7863
0.8019 0.0363 0.2137
0.0096 0.6377 0.1716
0.2500 0.8969 0.1031
0.7500 0.1031 0.8969
0.2500 0.1891 0.8109
0.7500 0.8109 0.1891